The following is a DFT calculation (SCAN) of LaScAg2 at its PBEsol-relaxed geometry.

Cell and atoms, written as POSCAR:
```
LaScAg2
1.0
3.407 0.000 0.234
0.000 5.027 0.000
-0.360 0.000 5.243
Ag Sc La
2 1 1
Direct
0.875 0.500 0.300
0.875 0.000 0.926
0.375 0.500 0.858
0.375 0.000 0.416
```

For the density, the calculation gives 7.355 g/cm3. For the density of states at the Fermi level, the calculation gives 2.92 states/eV/f.u. As for the space group: Pmm2 (25). For the formation enthalpy at 0 K, the calculation gives -254 meV/atom. Its crystal system is orthorhombic.


The following is a DFT calculation (SCAN) of LaSc2Ag at its PBEsol-relaxed geometry.

Cell and atoms, written as POSCAR:
```
LaSc2Ag
1.0
3.441 0.000 0.000
0.000 3.441 0.000
0.000 0.000 8.299
Sc La Ag
2 1 1
Direct
0.500 0.500 0.278
0.000 0.000 0.033
0.500 0.500 0.729
0.000 0.000 0.459
```

For the density, the calculation gives 5.691 g/cm3. For the density of states at the Fermi level, the calculation gives 3.49 states/eV/f.u. As for the space group: P4mm (99). For the formation enthalpy at 0 K, the calculation gives -124 meV/atom. Its crystal system is tetragonal.


The following is a DFT calculation (SCAN) of La2ScAg at its PBEsol-relaxed geometry.

Cell and atoms, written as POSCAR:
```
La2ScAg
1.0
3.595 0.000 -0.056
0.000 5.025 0.000
-1.718 0.000 6.117
Sc La Ag
1 2 1
Direct
0.309 0.000 0.496
0.034 0.000 0.942
0.716 0.500 0.308
0.440 0.500 0.753
```

For the density, the calculation gives 6.500 g/cm3. For the density of states at the Fermi level, the calculation gives 3.52 states/eV/f.u. As for the space group: Pm (6). For the formation enthalpy at 0 K, the calculation gives -69 meV/atom. Its crystal system is monoclinic.


The following is a DFT calculation (SCAN) of LaAgSe2 at its PBEsol-relaxed geometry.

Cell and atoms, written as POSCAR:
```
LaAgSe2
1.0
-3.741 1.104 1.959
-0.702 -1.127 4.158
0.972 5.108 3.840
Se Ag La
2 1 1
Direct
0.755 0.755 0.735
0.245 0.245 0.265
0.500 0.500 0.500
0.000 0.000 0.000
```

For the density, the calculation gives 6.843 g/cm3. For the density of states at the Fermi level, the calculation gives 0.00 states/eV/f.u. As for the space group: R-3m (166). Its crystal system is trigonal. Its formation energy (no corrections) is -5.62 eV per formula unit.


The following is a DFT calculation (SCAN) of LaAgSe2 at its PBEsol-relaxed geometry.

Cell and atoms, written as POSCAR:
```
LaAgSe2
1.0
3.674 0.036 0.000
-0.904 3.562 0.000
0.000 0.000 7.136
La Se Ag
1 2 1
Direct
0.500 0.500 0.000
0.000 0.000 0.257
0.000 0.000 0.743
0.500 0.500 0.500
```

For the density, the calculation gives 7.178 g/cm3. For the density of states at the Fermi level, the calculation gives 0.09 states/eV/f.u. As for the space group: Cmmm (65). Its crystal system is orthorhombic. Its formation energy (no corrections) is -4.52 eV per formula unit.


The following is a DFT calculation (SCAN) of LaAg3Se at its PBEsol-relaxed geometry.

Cell and atoms, written as POSCAR:
```
LaAg3Se
1.0
-2.080 -2.778 4.184
4.849 -2.289 0.890
1.307 4.073 3.354
Ag La Se
3 1 1
Direct
0.000 0.500 0.000
0.000 0.000 0.500
0.500 0.000 0.000
0.000 0.000 0.000
0.500 0.500 0.500
```

For the density, the calculation gives 5.599 g/cm3. For the density of states at the Fermi level, the calculation gives 4.78 states/eV/f.u. As for the space group: Pm-3m (221). Its crystal system is cubic. Its formation energy (no corrections) is 5.88 eV per formula unit.


The following is a DFT calculation (SCAN) of La2AgSe at its PBEsol-relaxed geometry.

Cell and atoms, written as POSCAR:
```
La2AgSe
1.0
-0.468 -1.928 -3.806
-2.641 -2.876 1.782
-4.850 3.671 -1.263
La Ag Se
2 1 1
Direct
0.500 0.500 0.000
0.000 0.000 0.500
0.500 0.500 0.500
0.000 0.000 0.000
```

For the density, the calculation gives 6.740 g/cm3. For the density of states at the Fermi level, the calculation gives 5.08 states/eV/f.u. As for the space group: P4/mmm (123). Its crystal system is tetragonal. Its formation energy (no corrections) is -4.67 eV per formula unit.


The following is a DFT calculation (SCAN) of La2AgSe at its PBEsol-relaxed geometry.

Cell and atoms, written as POSCAR:
```
La2AgSe
1.0
-0.417 -3.621 2.201
-0.717 -3.664 -2.047
6.834 -3.561 -0.447
Ag Se La
1 1 2
Direct
0.000 0.000 0.000
0.500 0.500 0.500
0.755 0.755 0.735
0.245 0.245 0.265
```

For the density, the calculation gives 6.716 g/cm3. For the density of states at the Fermi level, the calculation gives 3.67 states/eV/f.u. As for the space group: R-3m (166). Its crystal system is trigonal. Its formation energy (no corrections) is -4.64 eV per formula unit.


The following is a DFT calculation (SCAN) of LaAg2Se2 at its PBEsol-relaxed geometry.

Cell and atoms, written as POSCAR:
```
LaAg2Se2
1.0
4.971 0.000 0.000
-2.485 5.168 -0.038
0.000 2.423 4.340
Se La Ag
2 1 2
Direct
0.750 0.500 0.750
0.250 0.500 0.250
0.000 0.000 0.000
0.358 0.715 0.642
0.642 0.285 0.358
```

For the density, the calculation gives 7.603 g/cm3. For the density of states at the Fermi level, the calculation gives 2.44 states/eV/f.u. As for the space group: I4/mmm (139). Its crystal system is tetragonal. Its formation energy (no corrections) is -3.65 eV per formula unit.


The following is a DFT calculation (SCAN) of La2Ag2Se at its PBEsol-relaxed geometry.

Cell and atoms, written as POSCAR:
```
La2Ag2Se
1.0
3.752 0.000 0.000
0.000 3.752 0.000
-1.876 -1.876 8.761
Se La Ag
1 2 2
Direct
0.000 0.000 0.000
0.399 0.399 0.797
0.601 0.601 0.203
0.250 0.750 0.500
0.750 0.250 0.500
```

For the density, the calculation gives 7.710 g/cm3. For the density of states at the Fermi level, the calculation gives 2.61 states/eV/f.u. As for the space group: I4/mmm (139). Its crystal system is tetragonal. Its formation energy (no corrections) is -3.89 eV per formula unit.


The following is a DFT calculation (SCAN) of LaAgSe2 at its PBEsol-relaxed geometry.

Cell and atoms, written as POSCAR:
```
LaAgSe2
1.0
-1.734 -1.974 -2.983
2.743 -3.582 0.775
-2.978 -1.188 5.053
Se Ag La
2 1 1
Direct
0.673 0.500 0.453
0.911 0.000 0.943
0.558 0.000 0.270
0.359 0.500 0.835
```

For the density, the calculation gives 6.509 g/cm3. As for the space group: Pm (6). Its crystal system is monoclinic. Its formation energy (no corrections) is -5.57 eV per formula unit.


The following is a DFT calculation (SCAN) of LaSi2Ag at its PBEsol-relaxed geometry.

Cell and atoms, written as POSCAR:
```
LaSi2Ag
1.0
-0.113 -0.738 -4.171
4.265 0.262 -0.161
2.716 -8.423 1.417
Si Ag La
4 2 2
Direct
0.250 0.967 0.065
0.250 0.833 0.334
0.750 0.167 0.666
0.750 0.033 0.935
0.750 0.748 0.504
0.250 0.252 0.496
0.250 0.599 0.803
0.750 0.401 0.197
```

For the density, the calculation gives 6.379 g/cm3. For the density of states at the Fermi level, the calculation gives 1.05 states/eV/f.u. As for the space group: Cmcm (63). Its crystal system is orthorhombic. Its formation energy (no corrections) is -2.29 eV per formula unit.